LiScZn2 | PBE-GGA | optimized geometry

The structure in POSCAR format:
```
LiScZn2
1.0
5.390 0.054 -0.036
4.542 2.902 -0.036
1.570 0.467 4.616
Sc Li Zn
1 1 2
Direct
0.730 0.730 0.793 Sc
0.522 0.522 0.449 Li
0.978 0.978 0.981 Zn
0.270 0.270 0.277 Zn
```

Properties
Theoretical density, Mg/m³: 4.26
DOS(E_F), states/eV per atom: 0.378
Space group: Cm (8)
E_form, meV/atom: -166

---

LiScZn11 | PBE-GGA | optimized geometry

The structure in POSCAR format:
```
LiScZn11
1.0
4.790 0.019 1.996
2.363 6.208 0.985
0.025 0.009 6.687
Zn Li Sc
11 1 1
Direct
0.500 0.000 0.500 Zn
0.291 0.216 0.212 Zn
0.000 0.500 0.000 Zn
0.645 0.351 0.348 Zn
0.993 0.351 0.652 Zn
0.497 0.784 0.212 Zn
0.355 0.649 0.652 Zn
0.000 0.000 0.500 Zn
0.007 0.649 0.348 Zn
0.709 0.784 0.788 Zn
0.503 0.216 0.788 Zn
0.500 0.500 0.000 Li
0.000 0.000 0.000 Sc
```

Properties
Theoretical density, Mg/m³: 6.46
DOS(E_F), states/eV per atom: 0.333
Space group: C2/m (12)
E_form, meV/atom: -153

---

LiSc4Zn3 | PBE-GGA | optimized geometry

The structure in POSCAR format:
```
LiSc4Zn3
1.0
4.598 0.000 -1.241
-0.331 4.591 -1.224
-0.440 -0.506 7.507
Zn Li Sc
3 1 4
Direct
0.000 0.500 0.000 Zn
0.253 0.753 0.506 Zn
0.747 0.247 0.494 Zn
0.500 0.000 0.000 Li
0.873 0.873 0.747 Sc
0.627 0.627 0.253 Sc
0.127 0.127 0.253 Sc
0.373 0.373 0.747 Sc
```

Properties
Theoretical density, Mg/m³: 4.16
DOS(E_F), states/eV per atom: 1.026
Space group: I4/mmm (139)
E_form, meV/atom: -254

---

Li2ScZn2 | PBE-GGA | optimized geometry

The structure in POSCAR format:
```
Li2ScZn2
1.0
-1.262 4.502 6.083
-7.524 -0.087 -1.496
-0.306 -2.353 1.678
Sc Zn Li
2 4 4
Direct
0.500 0.500 0.000 Sc
0.000 0.000 0.000 Sc
0.871 0.629 0.000 Zn
0.371 0.871 0.000 Zn
0.629 0.129 0.000 Zn
0.129 0.371 0.000 Zn
0.167 0.667 0.500 Li
0.667 0.833 0.500 Li
0.833 0.333 0.500 Li
0.333 0.167 0.500 Li
```

Properties
Theoretical density, Mg/m³: 3.68
DOS(E_F), states/eV per atom: 0.762
Space group: P4/mbm (127)
E_form, meV/atom: -39
Excess energy over the best structure of this formula in the dataset, meV/atom: 94

---

LiSc4Zn5 | PBE-GGA | optimized geometry

The structure in POSCAR format:
```
LiSc4Zn5
1.0
3.300 0.000 0.000
0.000 3.300 0.000
0.000 0.000 16.645
Zn Sc Li
5 4 1
Direct
0.500 0.500 0.296 Zn
0.500 0.500 0.088 Zn
0.500 0.500 0.500 Zn
0.500 0.500 0.704 Zn
0.500 0.500 0.912 Zn
0.000 0.000 0.806 Sc
0.000 0.000 0.602 Sc
0.000 0.000 0.194 Sc
0.000 0.000 0.398 Sc
0.000 0.000 0.000 Li
```

Properties
Theoretical density, Mg/m³: 4.71
DOS(E_F), states/eV per atom: 0.731
Space group: P4/mmm (123)
E_form, meV/atom: -318

---

LiScZn2 | PBE-GGA | optimized geometry

The structure in POSCAR format:
```
LiScZn2
1.0
3.349 0.000 0.000
0.000 3.350 0.000
0.000 0.000 6.200
Zn Sc Li
2 1 1
Direct
0.500 0.500 0.259 Zn
0.000 0.000 0.016 Zn
0.500 0.500 0.768 Sc
0.000 0.000 0.457 Li
```

Properties
Theoretical density, Mg/m³: 4.36
DOS(E_F), states/eV per atom: 0.396
Space group: P4mm (99)
E_form, meV/atom: -108

---

LiSc4Zn2 | PBE-GGA | optimized geometry

The structure in POSCAR format:
```
LiSc4Zn2
1.0
-1.827 -3.137 3.031
-2.533 -3.651 -1.617
4.807 -6.387 -0.024
Sc Zn Li
4 2 1
Direct
0.867 0.867 0.398 Sc
0.613 0.613 0.160 Sc
0.387 0.387 0.840 Sc
0.133 0.133 0.602 Sc
0.258 0.258 0.227 Zn
0.742 0.742 0.773 Zn
0.000 0.000 0.000 Li
```

Properties
Theoretical density, Mg/m³: 3.62
DOS(E_F), states/eV per atom: 1.063
Space group: R-3m (166)
E_form, meV/atom: -77

---

Li4Sc2Zn | PBE-GGA | optimized geometry

The structure in POSCAR format:
```
Li4Sc2Zn
1.0
-0.394 3.854 2.328
-3.147 -1.907 2.624
3.428 -1.274 7.076
Li Sc Zn
4 2 1
Direct
0.500 0.000 0.000 Li
0.000 0.500 0.000 Li
0.175 0.175 0.650 Li
0.825 0.825 0.350 Li
0.620 0.620 0.761 Sc
0.380 0.380 0.239 Sc
0.000 0.000 0.000 Zn
```

Properties
Theoretical density, Mg/m³: 2.04
DOS(E_F), states/eV per atom: 1.059
Space group: I4/mmm (139)
E_form, meV/atom: 359